DFT (GGA-PBE) results for a geometry-optimized TbDy5Er12 structure. Values from VASP.

As for the space group: C2/m, No. 12.

Cell and atoms, written as Quantum ESPRESSO input:
```
&SYSTEM
  ibrav = 0, nat = 18, ntyp = 3
/
ATOMIC_SPECIES
Tb 158.93 Tb.upf
Dy 162.50 Dy.upf
Er 167.26 Er.upf
CELL_PARAMETERS angstrom
-7.597 7.219 -0.899
-9.887 -2.405 2.700
2.384 3.091 4.669
ATOMIC_POSITIONS crystal
Tb 0.000 0.000 0.000
Dy 0.500 0.000 0.500
Dy 0.167 0.666 0.500
Dy 0.833 0.334 0.500
Dy 0.667 0.667 0.000
Dy 0.333 0.333 0.000
Er 0.833 0.000 0.500
Er 0.167 0.000 0.500
Er 0.667 0.000 0.000
Er 0.333 0.000 0.000
Er 0.334 0.666 0.000
Er 0.000 0.666 0.000
Er 0.000 0.334 0.000
Er 0.666 0.334 0.000
Er 0.500 0.333 0.500
Er 0.834 0.667 0.500
Er 0.166 0.333 0.500
Er 0.500 0.667 0.500
```

***

DFT (GGA-PBE) results for a geometry-optimized Tb2DyEr8 structure. Values from VASP.

As for the space group: C2/m, No. 12. As for the offset from the most stable computed form: 0.000 eV per formula unit.

Cell and atoms, written as Quantum ESPRESSO input:
```
&SYSTEM
  ibrav = 0, nat = 11, ntyp = 3
/
ATOMIC_SPECIES
Tb 158.93 Tb.upf
Dy 162.50 Dy.upf
Er 167.26 Er.upf
CELL_PARAMETERS angstrom
-2.868 -4.179 2.868
-6.716 -4.941 -3.323
2.001 -7.970 -4.315
ATOMIC_POSITIONS crystal
Tb 0.000 0.309 0.382
Tb 0.000 0.691 0.618
Dy 0.500 0.000 0.000
Er 0.808 0.098 0.243
Er 0.808 0.341 0.757
Er 0.291 0.440 0.000
Er 0.500 0.796 0.408
Er 0.500 0.204 0.592
Er 0.709 0.560 0.000
Er 0.192 0.659 0.243
Er 0.192 0.902 0.757
```

***

DFT (GGA-PBE) results for a geometry-optimized TbDy3Er7 structure. Values from VASP.

As for the space group: P2/m, No. 10. As for the offset from the most stable computed form: 0.000 eV per formula unit.

Cell and atoms, written as Quantum ESPRESSO input:
```
&SYSTEM
  ibrav = 0, nat = 11, ntyp = 3
/
ATOMIC_SPECIES
Tb 158.93 Tb.upf
Dy 162.50 Dy.upf
Er 167.26 Er.upf
CELL_PARAMETERS angstrom
-8.441 -2.341 -0.595
5.153 -8.073 -2.234
3.028 0.688 4.495
ATOMIC_POSITIONS crystal
Tb 0.500 0.500 0.500
Dy 0.221 0.001 0.721
Dy 0.000 0.500 0.000
Dy 0.779 0.999 0.279
Er 0.918 0.831 0.918
Er 0.820 0.641 0.320
Er 0.647 0.290 0.147
Er 0.353 0.710 0.853
Er 0.500 0.000 0.500
Er 0.180 0.359 0.680
Er 0.082 0.169 0.082
```

***

DFT (GGA-PBE) results for a geometry-optimized Tb7DyEr2 structure. Values from VASP.

As for the space group: Cmmm, No. 65. As for the offset from the most stable computed form: 6.405 eV per formula unit.

Cell and atoms, written as Quantum ESPRESSO input:
```
&SYSTEM
  ibrav = 0, nat = 10, ntyp = 3
/
ATOMIC_SPECIES
Tb 158.93 Tb.upf
Dy 162.50 Dy.upf
Er 167.26 Er.upf
CELL_PARAMETERS angstrom
-1.657 -0.212 5.076
-3.177 -8.755 -1.402
8.677 2.206 2.925
ATOMIC_POSITIONS crystal
Tb 0.000 0.797 0.203
Tb 0.000 0.203 0.797
Tb 0.500 0.067 0.290
Tb 0.500 0.933 0.710
Tb 0.500 0.290 0.067
Tb 0.500 0.710 0.933
Tb 0.500 0.500 0.500
Dy 0.000 0.000 0.000
Er 0.500 0.703 0.297
Er 0.500 0.297 0.703
```

***

DFT (GGA-PBE) results for a geometry-optimized TbDy4Er2 structure. Values from VASP.

As for the space group: P2_1/m, No. 11. As for the offset from the most stable computed form: 0.713 eV per formula unit.

Cell and atoms, written as Quantum ESPRESSO input:
```
&SYSTEM
  ibrav = 0, nat = 14, ntyp = 3
/
ATOMIC_SPECIES
Tb 158.93 Tb.upf
Dy 162.50 Dy.upf
Er 167.26 Er.upf
CELL_PARAMETERS angstrom
6.076 0.000 -0.351
0.000 6.494 0.000
-2.507 0.000 11.218
ATOMIC_POSITIONS crystal
Tb 0.169 0.750 0.146
Tb 0.831 0.250 0.854
Dy 0.641 0.496 0.288
Dy 0.001 0.750 0.845
Dy 0.999 0.250 0.155
Dy 0.641 0.004 0.288
Dy 0.859 0.250 0.568
Dy 0.359 0.996 0.712
Dy 0.359 0.504 0.712
Dy 0.141 0.750 0.432
Er 0.607 0.750 0.003
Er 0.393 0.250 0.997
Er 0.296 0.250 0.441
Er 0.704 0.750 0.559
```

***

DFT (GGA-PBE) results for a geometry-optimized Tb4Dy3Er5 structure. Values from VASP.

As for the space group: P-1, No. 2. As for the offset from the most stable computed form: 0.000 eV per formula unit.

Cell and atoms, written as Quantum ESPRESSO input:
```
&SYSTEM
  ibrav = 0, nat = 12, ntyp = 3
/
ATOMIC_SPECIES
Tb 158.93 Tb.upf
Dy 162.50 Dy.upf
Er 167.26 Er.upf
CELL_PARAMETERS angstrom
6.833 -0.574 1.649
-5.125 7.653 -6.272
4.207 -4.208 11.227
ATOMIC_POSITIONS crystal
Tb 0.917 0.834 0.667
Tb 0.833 0.665 0.833
Tb 0.167 0.335 0.167
Tb 0.083 0.166 0.333
Dy 0.583 0.166 0.333
Dy 0.000 0.000 0.500
Dy 0.417 0.834 0.667
Er 0.333 0.666 0.834
Er 0.500 0.000 0.500
Er 0.751 0.500 0.000
Er 0.249 0.500 0.000
Er 0.667 0.334 0.166
```

***

DFT (GGA-PBE) results for a geometry-optimized Tb12DyEr3 structure. Values from VASP.

As for the space group: P4/mmm, No. 123.

Cell and atoms, written as Quantum ESPRESSO input:
```
&SYSTEM
  ibrav = 0, nat = 16, ntyp = 3
/
ATOMIC_SPECIES
Tb 158.93 Tb.upf
Dy 162.50 Dy.upf
Er 167.26 Er.upf
CELL_PARAMETERS angstrom
5.011 0.000 0.000
0.000 5.011 0.000
0.000 0.000 20.029
ATOMIC_POSITIONS crystal
Tb 0.500 0.500 0.000
Tb 0.500 0.500 0.250
Tb 0.500 0.500 0.500
Tb 0.500 0.500 0.750
Tb 0.500 0.000 0.125
Tb 0.500 0.000 0.375
Tb 0.500 0.000 0.625
Tb 0.500 0.000 0.875
Tb 0.000 0.500 0.125
Tb 0.000 0.500 0.375
Tb 0.000 0.500 0.625
Tb 0.000 0.500 0.875
Dy 0.000 0.000 0.000
Er 0.000 0.000 0.250
Er 0.000 0.000 0.500
Er 0.000 0.000 0.750
```

***

DFT (GGA-PBE) results for a geometry-optimized Tb2Dy5Er4 structure. Values from VASP.

As for the space group: Immm, No. 71. As for the offset from the most stable computed form: 0.869 eV per formula unit.

Cell and atoms, written as Quantum ESPRESSO input:
```
&SYSTEM
  ibrav = 0, nat = 11, ntyp = 3
/
ATOMIC_SPECIES
Tb 158.93 Tb.upf
Dy 162.50 Dy.upf
Er 167.26 Er.upf
CELL_PARAMETERS angstrom
3.467 0.000 0.000
0.000 8.937 0.000
-1.733 -4.468 11.513
ATOMIC_POSITIONS crystal
Tb 0.269 0.269 0.537
Tb 0.731 0.731 0.463
Dy 0.856 0.054 0.712
Dy 0.856 0.658 0.712
Dy 0.144 0.342 0.288
Dy 0.144 0.946 0.288
Dy 0.500 0.000 0.000
Er 0.000 0.311 0.000
Er 0.597 0.597 0.194
Er 0.000 0.689 0.000
Er 0.403 0.403 0.806
```

***

Sequential total energy output: -4.556 -4.415 -4.424 -3.924 -4.456 -4.577 -4.598 -4.372 eV/atom
Sequential magnetic moment output: 0.000 0.000 0.000 0.000 0.000 0.000 0.000 0.000 μB/f.u.